Material: CeErPt2
Method: DFT, GGA-PBE
State: optimized geometry

a b c (Å): 3.453 3.453 7.270
angles (deg): 90.00 90.00 90.00
Site moments in Bohr magnetons follow the coordinates.
Element x y z (fractional)
Pt: 0.000 0.000 0.234  -0.02
Pt: 0.000 0.000 0.766  -0.02
Ce: 0.500 0.500 0.500  0.61
Er: 0.500 0.500 0.000  0.03

The size of the total moment comes out at 0.7 μB per cell. The calculation puts the energy relative to the elements at -1.115 eV per atom. Its symmetry is No. 123. The calculation puts the density of states at the Fermi level at 1.614 states/eV per atom.